1.
The following is a DFT calculation (PBE-GGA) of V3Se4 after structural relaxation.

POSCAR file:
```
V3Se4
1.0
13.338 0.000 0.000
0.000 3.436 0.000
-2.263 0.000 5.579
V Se
6 8
direct
0.000 0.000 0.000 V
0.246 0.000 0.292 V
0.254 0.500 0.708 V
0.500 0.500 0.000 V
0.746 0.500 0.292 V
0.754 0.000 0.708 V
0.109 0.500 0.310 Se
0.146 0.000 0.832 Se
0.354 0.500 0.168 Se
0.391 0.000 0.690 Se
0.609 0.000 0.310 Se
0.646 0.500 0.832 Se
0.854 0.000 0.168 Se
0.891 0.500 0.690 Se
```

Results
- E_tot (eV/cell) = -91.80
- ΔE_f (raw) (eV per atom) = -0.66
- ρ (g/cm³) = 6.087


2.
The following is a DFT calculation (PBE-GGA) of Ba2HgB after structural relaxation.

POSCAR file:
```
Ba2HgB
1.0
8.594 0.000 0.000
0.000 8.594 0.000
0.000 0.000 8.341
Ba Hg B
8 4 4
direct
0.188 0.250 0.125 Ba
0.250 0.688 0.375 Ba
0.250 0.812 0.875 Ba
0.312 0.250 0.625 Ba
0.688 0.750 0.625 Ba
0.750 0.188 0.875 Ba
0.750 0.312 0.375 Ba
0.812 0.750 0.125 Ba
0.000 0.000 0.500 Hg
0.000 0.500 0.750 Hg
0.500 0.000 0.250 Hg
0.500 0.500 0.000 Hg
0.000 0.000 0.000 B
0.000 0.500 0.250 B
0.500 0.000 0.750 B
0.500 0.500 0.500 B
```

Results
- E_tot (eV/cell) = -35.92
- E_form (meV/atom) = 461
- ρ (g/cm³) = 5.241


3.
The following is a DFT calculation (PBE-GGA) of K6CaI8 after structural relaxation.

POSCAR file:
```
K6CaI8
1.0
5.267 3.041 7.005
-5.267 3.041 7.005
0.000 -6.082 7.005
K Ca I
6 1 8
direct
0.021 0.440 0.805 K
0.195 0.979 0.560 K
0.440 0.805 0.021 K
0.560 0.195 0.979 K
0.805 0.021 0.440 K
0.979 0.560 0.195 K
0.500 0.500 0.500 Ca
0.160 0.160 0.160 I
0.174 0.665 0.402 I
0.335 0.598 0.826 I
0.402 0.174 0.665 I
0.598 0.826 0.335 I
0.665 0.402 0.174 I
0.826 0.335 0.598 I
0.840 0.840 0.840 I
```

Results
- E_tot (eV/cell) = -43.16
- ΔE_f (raw) (eV per atom) = -1.48
- ρ (g/cm³) = 3.182


4.
The following is a DFT calculation (PBE-GGA) of TlTc2Sb after structural relaxation.

POSCAR file:
```
TlTc2Sb
1.0
3.080 0.000 0.000
0.000 4.516 0.000
0.000 0.000 11.111
Tl Tc Sb
2 4 2
direct
0.000 0.000 0.000 Tl
0.500 0.500 0.500 Tl
0.000 0.000 0.482 Tc
0.000 0.500 0.185 Tc
0.500 0.000 0.685 Tc
0.500 0.500 0.982 Tc
0.000 0.500 0.769 Sb
0.500 0.000 0.269 Sb
```

Results
- E_tot (eV/cell) = -50.26
- ΔE_f (raw) (eV per atom) = 0.52
- ρ (g/cm³) = 11.221


5.
The following is a DFT calculation (PBE-GGA) of Rb2TlInBi2 after structural relaxation.

POSCAR file:
```
Rb2TlInBi2
1.0
-3.879 8.363 3.891
3.879 -8.363 3.891
3.879 8.363 -3.891
Rb Tl In Bi
4 2 2 4
direct
0.165 0.238 0.403 Rb
0.335 0.738 0.073 Rb
0.665 0.262 0.927 Rb
0.835 0.762 0.597 Rb
0.250 0.250 0.000 Tl
0.750 0.750 0.000 Tl
0.250 0.750 0.500 In
0.750 0.250 0.500 In
0.099 0.727 0.826 Bi
0.401 0.227 0.628 Bi
0.599 0.773 0.372 Bi
0.901 0.273 0.174 Bi
```

Results
- E_tot (eV/cell) = -33.04
- E_form (meV/atom) = -286
- ρ (g/cm³) = 5.973


6.
The following is a DFT calculation (PBE-GGA) of CsZnHg2Mo after structural relaxation.

POSCAR file:
```
CsZnHg2Mo
1.0
5.090 0.000 0.000
0.000 5.090 0.000
0.000 0.000 5.886
Cs Zn Hg Mo
1 1 2 1
direct
0.000 0.000 0.000 Cs
0.000 0.000 0.500 Zn
0.000 0.500 0.500 Hg
0.500 0.000 0.500 Hg
0.500 0.500 0.000 Mo
```

Results
- E_tot (eV/cell) = -7.86
- E_form (meV/atom) = 1141
- ρ (g/cm³) = 7.573


7.
The following is a DFT calculation (PBE-GGA) of PaVS6 after structural relaxation.

POSCAR file:
```
PaVS6
1.0
6.694 0.000 0.000
0.000 9.828 0.000
-1.273 0.000 4.781
Pa V S
2 2 12
direct
0.000 0.000 0.000 Pa
0.500 0.500 0.000 Pa
0.000 0.500 0.000 V
0.500 0.000 0.000 V
0.184 0.313 0.824 S
0.184 0.687 0.824 S
0.230 0.000 0.607 S
0.270 0.500 0.393 S
0.316 0.187 0.176 S
0.316 0.813 0.176 S
0.684 0.187 0.824 S
0.684 0.813 0.824 S
0.730 0.500 0.607 S
0.770 0.000 0.393 S
0.816 0.313 0.176 S
0.816 0.687 0.176 S
```

Results
- E_tot (eV/cell) = -99.24
- ΔE_f (raw) (eV per atom) = -0.78
- ρ (g/cm³) = 5.009


8.
The following is a DFT calculation (PBE-GGA) of K2NaTiB after structural relaxation.

POSCAR file:
```
K2NaTiB
1.0
6.765 0.000 0.000
0.000 6.765 0.000
0.000 0.000 4.192
K Na Ti B
2 1 1 1
direct
0.000 0.500 0.000 K
0.500 0.000 0.000 K
0.000 0.000 0.500 Na
0.500 0.500 0.000 Ti
0.500 0.500 0.500 B
```

Results
- E_tot (eV/cell) = -13.37
- E_form (meV/atom) = 944
- ρ (g/cm³) = 1.384